Below is crystalline CeTm4Al4 at its relaxed geometry, with properties calculated at the PBE level.

Computed properties:
ΔE_f   -1.06 eV/f.u.
Symmetry   No. 86
DOS(E_F)   17.2 states/eV per cell

Lattice parameters (Å, degrees): 5.8019 8.5872 8.5872 90.00 90.00 90.00
Closest atoms and distances in Å follow each position.
Positions (direct):
Tm 0.8842 0.6699 0.9315  1 Ce 2.97, 5 Al 3.02-3.22, 1 Tm 3.15
Tm 0.1158 0.9315 0.3301  1 Ce 2.97, 5 Al 3.02-3.22, 1 Tm 3.15
Tm 0.3842 0.4315 0.8301  1 Ce 2.97, 5 Al 3.02-3.22, 1 Tm 3.15
Tm 0.1158 0.0685 0.6699  1 Ce 2.97, 5 Al 3.02-3.22, 1 Tm 3.15
Tm 0.6158 0.1699 0.4315  1 Ce 2.97, 5 Al 3.02-3.22, 1 Tm 3.15
Tm 0.6158 0.8301 0.5685  1 Ce 2.97, 5 Al 3.02-3.22, 1 Tm 3.15
Tm 0.8842 0.3301 0.0685  1 Ce 2.97, 5 Al 3.02-3.22, 1 Tm 3.15
Tm 0.3842 0.5685 0.1699  1 Ce 2.97, 5 Al 3.02-3.22, 1 Tm 3.15
Al 0.0968 0.7004 0.6021  3 Al 2.95-3.21, 5 Tm 3.02-3.22, 1 Ce 3.03
Al 0.9032 0.6021 0.2996  3 Al 2.95-3.21, 5 Tm 3.02-3.22, 1 Ce 3.03
Al 0.4032 0.7996 0.8979  3 Al 2.95-3.21, 5 Tm 3.02-3.22, 1 Ce 3.03
Al 0.0968 0.2996 0.3979  3 Al 2.95-3.21, 5 Tm 3.02-3.22, 1 Ce 3.03
Al 0.5968 0.1021 0.7996  3 Al 2.95-3.21, 5 Tm 3.02-3.22, 1 Ce 3.03
Al 0.4032 0.2004 0.1021  3 Al 2.95-3.21, 5 Tm 3.02-3.22, 1 Ce 3.03
Al 0.9032 0.3979 0.7004  3 Al 2.95-3.21, 5 Tm 3.02-3.22, 1 Ce 3.03
Al 0.5968 0.8979 0.2004  3 Al 2.95-3.21, 5 Tm 3.02-3.22, 1 Ce 3.03
Ce 0.5000 0.5000 0.5000  4 Tm 2.97, 4 Al 3.03
Ce 0.0000 0.0000 0.0000  4 Tm 2.97, 4 Al 3.03

***

Below is crystalline InAgHgF6 at its relaxed geometry, with properties calculated at the PBE level.

Computed properties:
Formation energy from raw total energies   -1815 meV per atom
Symmetry   No. 102
DOS(E_F)   2.3 states/eV per cell

Lattice parameters (Å, degrees): 5.2971 5.2971 10.8269 90.00 90.00 90.00
Closest atoms and distances in Å follow each position.
Positions (direct):
F 0.6806 0.6806 0.9856  1 In 2.13
F 0.1806 0.8194 0.4856  1 In 2.13
F 0.7810 0.2190 0.8249  1 In 2.11
F 0.7190 0.7190 0.3249  1 In 2.11
F 0.8070 0.1930 0.1898  1 In 2.12, 1 Hg 2.31
F 0.3194 0.3194 0.9856  1 In 2.13
F 0.6930 0.6930 0.6898  1 In 2.12, 1 Hg 2.31
F 0.2810 0.2810 0.3249  1 In 2.11
F 0.1930 0.8070 0.1898  1 In 2.12, 1 Hg 2.31
F 0.8194 0.1806 0.4856  1 In 2.13
F 0.2190 0.7810 0.8249  1 In 2.11
F 0.3070 0.3070 0.6898  1 In 2.12, 1 Hg 2.31
In 0.5000 0.5000 0.8335  6 F 2.11-2.13
In 0.0000 0.0000 0.3335  6 F 2.11-2.13
Ag 0.0000 0.0000 0.9986  6 F 2.40-2.52
Ag 0.5000 0.5000 0.4986  6 F 2.40-2.52
Hg 0.5000 0.5000 0.1673  6 F 2.31-2.39
Hg 0.0000 0.0000 0.6673  6 F 2.31-2.39

***

| no. | calculated volume (Å³ per cell) | total DFT energy (no corrections) (eV/atom) | magnetic moment (μB/atom) |
| --- | --- | --- | --- |
| 1 | 427.8 | -4.4280 | 0.029 |
| 2 | 303.8 | -3.7174 | 0.009 |